Material: Sr2AgH2
Method: DFT, PBEsol
State: optimized geometry

Calculated values
- Total DFT energy (no corrections): -0.11394 hartree per atom
- Magnetic moment: 0.00 μB per cell

Cell lengths 3.9564, 3.9564, 13.3874 Å; angles 90.00, 90.00, 90.00 degrees
Space group I4/mmm (No. 139)
One atom of each set of equivalent atoms:
Sr (0.0000, 0.0000, 0.1461) [4 per cell]
Ag (0.0000, 0.0000, 0.5000) [2 per cell]
H (0.0000, 0.5000, 0.2500) [4 per cell]